## FeCoO3 (PBE+U)

Data for a relaxed structure of FeCoO3.

Cell lengths 9.2709, 5.3130, 5.3321 Å; angles 90.00, 90.09, 90.00 degrees
With the nearest neighbours (Å) after each atom.
Space group C2/m (No. 12)
Asymmetric unit:
Fe 0.1677 0.0000 0.0000 (multiplicity 4)  6 O 2.02-2.03
Co 0.1642 0.0000 0.5000 (multiplicity 4)  6 O 2.04-2.06
O 0.0001 0.0000 0.2450 (multiplicity 4)  2 Fe 2.03, 2 Co 2.04
O 0.2500 0.2500 0.2469 (multiplicity 8)  2 Fe 2.02, 2 Co 2.05-2.06

Properties
For the theoretical density, the calculation gives 4.1 g/cm³. The value obtained for the total energy is -120.26 eV for the cell shown. The calculation puts the total moment at 30.7 Bohr magnetons per cell.